Entry 1:
First-principles (PBE) data for a relaxed SnTe3Au crystal, as listed in Alexandria via LeMat-Bulk.

The calculation puts the excess energy over the best structure of this formula in the dataset at 113 meV/atom. Its crystal system is monoclinic. The uncorrected formation energy comes out at 4 meV per atom.

The structure belongs to space group P2_1/m (No. 11); the cell edges are 8.5614, 3.9714 and 9.4204 Å and the angles 90.00°, 93.41° and 90.00°. The distinct sites, in fractional coordinates, are Sn at (0.2226, 0.2500, 0.2761), Te at (0.0360, 0.2500, 0.8808), Te at (0.1579, 0.7500, 0.5392), Te at (0.4307, 0.7500, 0.1428) and Au at (0.3080, 0.2500, 0.6946).

=====

Entry 2:
First-principles (PBE) data for a relaxed SnTe3Au crystal, as listed in Alexandria via LeMat-Bulk.

The calculation puts the excess energy over the best structure of this formula in the dataset at 418 meV/atom. Its crystal system is cubic. The uncorrected formation energy comes out at 308 meV per atom.

The structure belongs to space group Pm-3m (No. 221); the cell edges are 5.4544, 5.4544 and 5.4544 Å and the angles 90.00°, 90.00° and 90.00°. The distinct sites, in fractional coordinates, are Sn at (0.0000, 0.0000, 0.0000), Te at (0.0000, 0.5000, 0.5000) and Au at (0.5000, 0.5000, 0.5000).

=====

Entry 3:
First-principles (PBE) data for a relaxed Sn2Te3Au crystal, as listed in Alexandria via LeMat-Bulk.

Its crystal system is orthorhombic. The uncorrected formation energy comes out at -94 meV per atom.

The structure belongs to space group Cmcm (No. 63); the cell edges are 13.3923, 10.1571 and 6.1188 Å and the angles 90.00°, 90.00° and 90.00°. The distinct sites, in fractional coordinates, are Sn at (0.1618, 0.1848, 0.2500), Te at (0.0000, 0.3898, 0.2500), Te at (0.1587, 0.1482, 0.7500) and Au at (0.0000, 0.3376, 0.7500).

=====

Entry 4:
First-principles (PBE) data for a relaxed Sn2TeAu crystal, as listed in Alexandria via LeMat-Bulk.

Its crystal system is trigonal. The uncorrected formation energy comes out at -187 meV per atom.

The structure belongs to space group R-3m (No. 166, hexagonal axes); the cell edges are 4.2190, 4.2190 and 21.3695 Å and the angles 90.00°, 90.00° and 120.00°. The distinct sites, in fractional coordinates, are Sn at (0.0000, 0.0000, 0.2393), Te at (0.0000, 0.0000, 0.0000) and Au at (0.0000, 0.0000, 0.5000).

=====

Please write out number 3 again, unchanged.
First-principles (PBE) data for a relaxed Sn2Te3Au crystal, as listed in Alexandria via LeMat-Bulk.

Its crystal system is orthorhombic. The uncorrected formation energy comes out at -94 meV per atom.

The structure belongs to space group Cmcm (No. 63); the cell edges are 13.3923, 10.1571 and 6.1188 Å and the angles 90.00°, 90.00° and 90.00°. The distinct sites, in fractional coordinates, are Sn at (0.1618, 0.1848, 0.2500), Te at (0.0000, 0.3898, 0.2500), Te at (0.1587, 0.1482, 0.7500) and Au at (0.0000, 0.3376, 0.7500).